Below is a relaxed LaPm4Ho4 crystal, with properties calculated at the PBE level.

Calculated values
Total energy, eV per atom: -4.67
DOS at the Fermi energy, states/eV/cell: 12.96
Energy of formation from the pure elements, eV per atom: 0.02

Unit cell a=5.085 b=8.071 c=8.071 alpha=84.30 beta=71.64 gamma=71.64
Sites, in units of the cell vectors:
Pm  0.000  0.668  0.332
Pm  0.332  0.668  0.668
Pm  0.000  0.332  0.668
Pm  0.668  0.332  0.332
Ho  0.332  0.000  0.336
Ho  0.668  0.000  0.664
Ho  0.332  0.336  0.000
Ho  0.668  0.664  0.000
La  0.000  0.000  0.000